Compound: ErCdMoO6
Source: the Alexandria database
Functional: GGA+U
Structure: optimized geometry

Raw total energy = -6.50 eV/atom
Spin magnetization = 1.054 Bohr magnetons per cell
Symmetry = P312 (149)

abc: 4.674 5.555 5.555
angles: 120.00 90.00 90.00
Fractional positions:
O  0.272  0.295  0.292
Cd  0.000  0.333  0.667
O  0.728  0.295  0.003
O  0.728  0.708  0.705
O  0.272  0.997  0.705
O  0.728  0.997  0.292
Mo  0.500  0.000  0.000
Er  0.500  0.667  0.333
O  0.272  0.708  0.003